4
Lattice="5.022 0.000 0.000 1.671 4.735 0.000 -3.346 -2.368 2.900" Properties=species:S:1:pos:R:3 comment="GGA-PBE HgMo2Au, relaxed" formation_energy_ev_per_atom=0.46 vol_a3_per_atom=17.24 dft_energy_ev_per_atom=-5.8462 crystal_system=tetragonal magmom_total_mub_per_fu=0.0 pbc="T T T"
Au 3.346 2.368 0.000
Hg 2.511 0.000 1.450
Mo 0.000 0.000 0.000
Mo 0.836 2.368 1.450